Entry 1:
DFT (GGA-PBE) results for an optimized crystal structure of EuTcC.

Lattice parameters (Å, degrees): 2.9599 2.9599 5.7314 104.96 104.96 90.00
Sites, in units of the cell vectors:
Eu1 0.9988 0.9988 0.9977
C1 0.7280 0.7280 0.4560
Tc1 0.2732 0.2732 0.5463

Output
Size of the total moment in Bohr magnetons per cell: 6.984
Formation energy from the elements in eV per atom: 0.388

---

Entry 2:
DFT (GGA-PBE) results for an optimized crystal structure of BaAlPt.

Lattice parameters (Å, degrees): 4.3503 4.3503 5.0818 90.00 90.00 120.00
Sites, in units of the cell vectors:
Ba1 0.3333 0.6667 0.3336
Pt1 0.6667 0.3333 0.8327
Al1 0.0000 0.0000 0.8337

Output
Size of the total moment in Bohr magnetons per cell: 0.000
Formation energy from the elements in eV per atom: -0.729